TbPm4Al2 | PBE | optimized geometry

abc: 6.714 8.831 7.703
angles: 90.00 111.57 90.00
Fractional coordinates of all 14 atoms:
Tb  0.000  0.000  0.000
Tb  0.000  0.500  0.500
Pm  0.105  0.166  0.667
Pm  0.105  0.334  0.167
Pm  0.404  0.682  0.313
Pm  0.404  0.818  0.813
Pm  0.596  0.182  0.187
Pm  0.596  0.318  0.687
Pm  0.895  0.666  0.833
Pm  0.895  0.834  0.333
Al  0.309  0.035  0.395
Al  0.309  0.465  0.895
Al  0.691  0.535  0.105
Al  0.691  0.965  0.605

Formation energy from the elements (meV per atom): -72
Crystal system: monoclinic
Energy relative to the lowest polymorph listed for this composition (meV per atom): 0